La3TlAu: relaxed, GGA-PBE.

Results
DFT total energy   -4.50 eV per atom
Formation enthalpy at 0 K   -412 meV/atom

Cell: 3.647 4.995 8.651 Å, 90.00 90.00 90.00°
Atoms (fractional coordinates):
La 0.000 0.000 0.000
La 0.000 0.500 0.319
La 0.000 0.500 0.681
Tl 0.500 0.000 0.500
Au 0.500 0.500 0.000



Lu2CuAg: relaxed, GGA-PBE.

Results
DFT total energy   -4.31 eV per atom
Formation enthalpy at 0 K   -317 meV/atom

Cell: 3.449 3.449 7.072 Å, 90.00 90.00 90.00°
Atoms (fractional coordinates):
Lu 0.000 0.000 0.236
Lu 0.000 0.000 0.764
Cu 0.500 0.500 0.000
Ag 0.500 0.500 0.500



NaZr2Rh2: relaxed, GGA-PBE.

Results
DFT total energy   -6.66 eV per atom
Formation enthalpy at 0 K   -31 meV/atom

Cell: 7.412 7.412 7.412 Å, 147.98 147.98 45.92°
Atoms (fractional coordinates):
Na 0.000 0.000 0.000
Zr 0.371 0.371 0.000
Zr 0.629 0.629 0.000
Rh 0.250 0.750 0.500
Rh 0.750 0.250 0.500



TbGa2Sn: relaxed, GGA-PBE.

Results
DFT total energy   -4.17 eV per atom
Formation enthalpy at 0 K   -499 meV/atom

Cell: 4.484 4.484 4.333 Å, 90.00 90.00 90.00°
Atoms (fractional coordinates):
Tb 0.000 0.000 0.000
Ga 0.000 0.500 0.500
Ga 0.500 0.000 0.500
Sn 0.500 0.500 0.000



PPt2Cl: relaxed, GGA-PBE.

Results
DFT total energy   -4.75 eV per atom
ΔE_f (raw)   0.085 eV per atom

Cell: 5.472 5.472 5.472 Å, 147.36 98.79 90.30°
Atoms (fractional coordinates):
P 0.000 0.000 0.000
Pt 0.214 0.714 0.500
Pt 0.786 0.286 0.500
Cl 0.500 0.500 0.000



Ba2AcPtO6: relaxed, GGA-PBE.

Results
DFT total energy   -6.43 eV per atom
ΔE_f (raw)   -2.056 eV per atom

Cell: 12.286 12.286 12.286 Å, 28.33 28.33 28.33°
Atoms (fractional coordinates):
Ba 0.145 0.145 0.145
Ba 0.307 0.307 0.307
Ba 0.693 0.693 0.693
Ba 0.855 0.855 0.855
Ac 0.412 0.412 0.412
Ac 0.588 0.588 0.588
Pt 0.000 0.000 0.000
Pt 0.500 0.500 0.500
O 0.153 0.622 0.622
O 0.192 0.192 0.713
O 0.192 0.713 0.192
O 0.287 0.808 0.808
O 0.378 0.378 0.847
O 0.378 0.847 0.378
O 0.622 0.153 0.622
O 0.622 0.622 0.153
O 0.713 0.192 0.192
O 0.808 0.287 0.808
O 0.808 0.808 0.287
O 0.847 0.378 0.378



Ac2Mg12Cd3Ag: relaxed, GGA-PBE.

Results
DFT total energy   -1.77 eV per atom
Formation enthalpy at 0 K   59 meV/atom

Cell: 13.404 13.404 13.404 Å, 29.00 29.00 29.00°
Atoms (fractional coordinates):
Ac 0.140 0.140 0.140
Ac 0.860 0.860 0.860
Mg 0.098 0.098 0.638
Mg 0.098 0.638 0.098
Mg 0.116 0.612 0.613
Mg 0.362 0.902 0.902
Mg 0.387 0.387 0.884
Mg 0.387 0.884 0.387
Mg 0.612 0.116 0.612
Mg 0.612 0.613 0.116
Mg 0.638 0.098 0.098
Mg 0.884 0.387 0.388
Mg 0.902 0.362 0.902
Mg 0.902 0.902 0.362
Cd 0.000 0.500 0.500
Cd 0.500 0.000 0.500
Cd 0.500 0.500 0.000
Ag 0.500 0.500 0.500



K2AgHg: relaxed, GGA-PBE.

Results
DFT total energy   -1.41 eV per atom
Formation enthalpy at 0 K   -78 meV/atom

Cell: 4.052 4.307 8.217 Å, 90.00 90.09 90.00°
Atoms (fractional coordinates):
K 0.000 0.000 0.237
K 0.000 0.000 0.763
Ag 0.500 0.500 0.000
Hg 0.500 0.500 0.500



Tm5AgBi4: relaxed, GGA-PBE.

Results
DFT total energy   -4.64 eV per atom
Formation enthalpy at 0 K   -569 meV/atom

Cell: 7.607 7.607 7.607 Å, 99.59 99.59 131.81°
Atoms (fractional coordinates):
Tm 0.000 0.000 0.000
Tm 0.205 0.400 0.599
Tm 0.400 0.801 0.195
Tm 0.606 0.205 0.805
Tm 0.801 0.606 0.401
Ag 0.500 0.500 0.000
Bi 0.100 0.702 0.797
Bi 0.304 0.100 0.398
Bi 0.702 0.905 0.602
Bi 0.905 0.304 0.203



BeAlW4: relaxed, GGA-PBE.

Results
DFT total energy   -9.13 eV per atom
Formation enthalpy at 0 K   752 meV/atom

Cell: 5.249 5.249 5.249 Å, 60.00 60.00 60.00°
Atoms (fractional coordinates):
Be 0.000 0.000 0.000
Al 0.250 0.250 0.250
W 0.124 0.625 0.625
W 0.625 0.124 0.625
W 0.625 0.625 0.124
W 0.625 0.625 0.625



Hf2HOsO: relaxed, GGA-PBE.

Results
DFT total energy   -7.91 eV per atom

Cell: 4.364 4.364 3.935 Å, 90.00 90.00 90.00°
Atoms (fractional coordinates):
Hf 0.000 0.500 0.000
Hf 0.500 0.000 0.000
H 0.000 0.000 0.500
Os 0.500 0.500 0.500
O 0.500 0.500 0.000



NdHoTlCd: relaxed, GGA-PBE.

Results
DFT total energy   -3.50 eV per atom
Formation enthalpy at 0 K   -341 meV/atom

Cell: 5.406 5.406 5.406 Å, 60.00 60.00 60.00°
Atoms (fractional coordinates):
Nd 0.000 0.000 0.000
Ho 0.500 0.500 0.500
Tl 0.250 0.250 0.250
Cd 0.750 0.750 0.750



Si2RuF: relaxed, GGA-PBE.

Results
DFT total energy   -5.71 eV per atom
ΔE_f (raw)   -0.208 eV per atom

Cell: 6.462 6.462 6.462 Å, 131.93 131.93 70.34°
Atoms (fractional coordinates):
Si 0.115 0.625 0.990
Si 0.375 0.365 0.490
Si 0.635 0.125 0.010
Si 0.875 0.885 0.510
Ru 0.000 0.000 0.000
Ru 0.750 0.250 0.500
F 0.250 0.750 0.500
F 0.500 0.500 0.000



Nd2GaBr: relaxed, GGA-PBE.

Results
DFT total energy   -4.40 eV per atom
ΔE_f (raw)   -0.846 eV per atom

Cell: 3.542 3.542 8.356 Å, 90.00 90.00 90.00°
Atoms (fractional coordinates):
Nd 0.000 0.000 0.228
Nd 0.000 0.000 0.772
Ga 0.500 0.500 0.000
Br 0.500 0.500 0.500



Li3Ac2PtO6: relaxed, GGA-PBE.

Results
DFT total energy   -6.11 eV per atom
ΔE_f (raw)   -1.962 eV per atom

Cell: 6.507 6.507 5.197 Å, 96.77 96.77 128.27°
Atoms (fractional coordinates):
Li 0.000 0.000 0.000
Li 0.397 0.603 0.000
Li 0.603 0.397 0.000
Ac 0.166 0.834 0.500
Ac 0.834 0.166 0.500
Pt 0.500 0.500 0.500
O 0.150 0.445 0.241
O 0.254 0.254 0.738
O 0.445 0.150 0.241
O 0.555 0.850 0.759
O 0.746 0.746 0.262
O 0.850 0.555 0.759



MgBi2Sb: relaxed, GGA-PBE.

Results
DFT total energy   -3.08 eV per atom
ΔE_f (raw)   0.294 eV per atom

Cell: 10.779 10.779 10.779 Å, 20.55 20.55 20.55°
Atoms (fractional coordinates):
Mg 0.000 0.000 0.000
Bi 0.097 0.097 0.097
Bi 0.903 0.903 0.903
Sb 0.500 0.500 0.500



CoAs: relaxed, GGA-PBE.

Results
DFT total energy   -5.87 eV per atom
Formation enthalpy at 0 K   8 meV/atom

Cell: 6.992 6.992 6.992 Å, 93.46 93.46 151.57°
Atoms (fractional coordinates):
Co 0.155 0.277 0.432
Co 0.277 0.845 0.123
Co 0.723 0.155 0.877
Co 0.845 0.723 0.568
As 0.079 0.704 0.783
As 0.296 0.079 0.375
As 0.704 0.921 0.625
As 0.921 0.296 0.217



Li3Cd8Pd4: relaxed, GGA-PBE.

Results
DFT total energy   -2.63 eV per atom
Formation enthalpy at 0 K   -374 meV/atom

Cell: 9.232 9.232 9.232 Å, 60.00 60.00 60.00°
Atoms (fractional coordinates):
Li 0.250 0.250 0.750
Li 0.250 0.750 0.250
Li 0.250 0.750 0.750
Li 0.750 0.250 0.250
Li 0.750 0.250 0.750
Li 0.750 0.750 0.250
Cd 0.117 0.628 0.628
Cd 0.128 0.128 0.128
Cd 0.128 0.128 0.616
Cd 0.128 0.616 0.128
Cd 0.372 0.372 0.372
Cd 0.372 0.372 0.883
Cd 0.372 0.883 0.372
Cd 0.384 0.872 0.872
Cd 0.616 0.128 0.128
Cd 0.628 0.117 0.628
Cd 0.628 0.628 0.117
Cd 0.628 0.628 0.628
Cd 0.872 0.384 0.872
Cd 0.872 0.872 0.384
Cd 0.872 0.872 0.872
Cd 0.883 0.372 0.372
Pd 0.000 0.000 0.000
Pd 0.000 0.000 0.500
Pd 0.000 0.500 0.000
Pd 0.000 0.500 0.500
Pd 0.500 0.000 0.000
Pd 0.500 0.000 0.500
Pd 0.500 0.500 0.000
Pd 0.500 0.500 0.500



HoErGe2: relaxed, GGA-PBE.

Results
DFT total energy   -5.19 eV per atom
Formation enthalpy at 0 K   -598 meV/atom

Cell: 5.278 5.278 3.203 Å, 90.00 90.00 90.00°
Atoms (fractional coordinates):
Ho 0.000 0.000 0.000
Er 0.500 0.500 0.000
Ge 0.000 0.500 0.500
Ge 0.500 0.000 0.500



ThPaC2: relaxed, GGA-PBE.

Results
DFT total energy   -8.93 eV per atom
Formation enthalpy at 0 K   -84 meV/atom

Cell: 3.609 3.609 6.243 Å, 90.00 90.00 120.00°
Atoms (fractional coordinates):
Th 0.000 0.000 0.000
Pa 0.000 0.000 0.500
C 0.333 0.667 0.724
C 0.667 0.333 0.276



ReB2As: relaxed, GGA-PBE.

Results
DFT total energy   -6.93 eV per atom
Formation enthalpy at 0 K   679 meV/atom

Cell: 5.801 5.801 5.801 Å, 129.50 129.50 74.21°
Atoms (fractional coordinates):
Re 0.000 0.000 0.000
Re 0.750 0.250 0.500
B 0.120 0.625 0.995
B 0.375 0.370 0.495
B 0.630 0.125 0.005
B 0.875 0.880 0.505
As 0.250 0.750 0.500
As 0.500 0.500 0.000



BaSrTl2: relaxed, GGA-PBE.

Results
DFT total energy   -2.32 eV per atom
Formation enthalpy at 0 K   -240 meV/atom

Cell: 10.948 10.948 10.948 Å, 22.03 22.03 22.03°
Atoms (fractional coordinates):
Ba 0.000 0.000 0.000
Sr 0.500 0.500 0.500
Tl 0.247 0.247 0.247
Tl 0.753 0.753 0.753



CaSmY2Se4: relaxed, GGA-PBE.

Results
DFT total energy   -6.03 eV per atom
ΔE_f (raw)   -1.835 eV per atom

Cell: 7.158 4.111 7.178 Å, 90.00 109.12 90.00°
Atoms (fractional coordinates):
Ca 0.000 0.000 0.000
Sm 0.000 0.500 0.500
Y 0.500 0.000 0.500
Y 0.500 0.500 0.000
Se 0.254 0.500 0.249
Se 0.255 0.000 0.755
Se 0.745 0.000 0.245
Se 0.746 0.500 0.751



ZnCo3S: relaxed, GGA-PBE.

Results
DFT total energy   -4.04 eV per atom
ΔE_f (raw)   1.301 eV per atom

Cell: 4.378 4.378 4.378 Å, 90.00 90.00 90.00°
Atoms (fractional coordinates):
Zn 0.000 0.000 0.000
Co 0.000 0.000 0.500
Co 0.000 0.500 0.000
Co 0.500 0.000 0.000
S 0.500 0.500 0.500